An optimized crystal structure of Lu2SbAu, computed with GGA-PBE.

Properties
Total energy in eV per cell: -17.17
Magnetization in μB per formula unit: 0.00

a = 5.1518 Å, b = 5.1518 Å, c = 5.1518 Å
α = 60.00°, β = 60.00°, γ = 60.00°
Sites, in units of the cell vectors:
Lu 0.7500 0.7500 0.7500
Lu 0.0000 0.0000 0.0000
Au 0.2500 0.2500 0.2500
Sb 0.5000 0.5000 0.5000